ZnCuTe2 | meta-GGA SCAN | single point on PBEsol structure

Unit cell a=3.8028 b=6.3775 c=7.5642 alpha=90.00 beta=90.00 gamma=90.00
Space group Immm (No. 71)
Inequivalent atoms, fractional coordinates:
Zn 0.0000 0.0000 0.0000 [2 per cell]
Cu 0.0000 0.0000 0.5000 [2 per cell]
Te 0.0000 0.5000 0.2298 [4 per cell]

Calculated values
Formation energy from raw total energies: 0.21 eV per atom
N(E_F): 0.56 states/eV/atom